# 1
Compound: Sc5Tl3
Source: the Alexandria database
Functional: PBEsol
Structure: relaxed

Calculated values
Polymorph energy (0 for the lowest one), kJ/mol of atoms: 0.4
Symmetry: I4/mcm (140)

POSCAR file:
```
Sc5Tl3
1.0
5.703 0.000 0.000
2.852 7.971 0.000
2.852 0.000 7.971
Sc Tl
10 6
direct
0.580 0.698 0.141
0.779 0.302 0.141
0.750 0.500 0.500
0.721 0.859 0.698
0.250 0.500 0.500
0.420 0.302 0.859
0.279 0.141 0.302
0.080 0.141 0.698
0.920 0.859 0.302
0.221 0.698 0.859
0.250 0.000 0.000
0.162 0.500 0.175
0.338 0.825 0.500
0.838 0.500 0.825
0.662 0.175 0.500
0.750 0.000 0.000
```

=====

# 2
Compound: ScTl5
Source: the Alexandria database
Functional: PBEsol
Structure: relaxed

Calculated values
Polymorph energy (0 for the lowest one), kJ/mol of atoms: 2.2
Symmetry: Amm2 (38)

POSCAR file:
```
ScTl5
1.0
-3.151 1.699 0.068
-1.705 -3.000 -4.032
-1.291 -6.378 5.292
Tl Sc
5 1
direct
0.459 0.500 0.918
0.789 0.500 0.579
0.327 0.000 0.654
0.120 0.500 0.241
0.649 0.000 0.299
0.988 0.000 0.977
```

=====

# 3
Compound: Sc5Tl3
Source: the Alexandria database
Functional: PBEsol
Structure: relaxed

Calculated values
Polymorph energy (0 for the lowest one), kJ/mol of atoms: 4.8
Symmetry: Cmmm (65)

POSCAR file:
```
Sc5Tl3
1.0
4.825 0.000 0.000
0.000 6.226 -0.530
0.000 -1.301 6.112
Tl Sc
3 5
direct
0.000 0.500 0.500
0.500 0.209 0.791
0.500 0.791 0.209
0.000 0.000 0.500
0.500 0.717 0.717
0.000 0.000 0.000
0.000 0.500 0.000
0.500 0.283 0.283
```

=====

# 4
Compound: Sc2Tl
Source: the Alexandria database
Functional: PBEsol
Structure: relaxed

Calculated values
Symmetry: Cmcm (63)

POSCAR file:
```
Sc2Tl
1.0
3.684 0.000 0.000
0.000 4.801 0.000
-1.842 0.000 7.638
Tl Sc
2 4
direct
0.910 0.250 0.821
0.090 0.750 0.179
0.582 0.250 0.164
0.741 0.750 0.482
0.418 0.750 0.836
0.259 0.250 0.518
```

=====

# 5
Compound: Sc2Tl
Source: the Alexandria database
Functional: PBEsol
Structure: relaxed

Calculated values
Symmetry: Fd-3m (227)

POSCAR file:
```
Sc2Tl
1.0
-4.653 7.807 1.732
-6.503 0.147 6.579
1.489 4.623 7.874
Tl Sc
8 16
direct
0.905 0.905 0.905
0.345 0.345 0.345
0.905 0.285 0.905
0.965 0.345 0.345
0.285 0.905 0.905
0.345 0.965 0.345
0.905 0.905 0.285
0.345 0.345 0.965
0.938 0.938 0.562
0.562 0.562 0.938
0.562 0.938 0.562
0.688 0.312 0.688
0.312 0.688 0.688
0.125 0.125 0.625
0.125 0.625 0.125
0.688 0.688 0.312
0.938 0.562 0.938
0.125 0.125 0.125
0.562 0.938 0.938
0.688 0.312 0.312
0.312 0.312 0.688
0.625 0.125 0.125
0.938 0.562 0.562
0.312 0.688 0.312
```

=====

# 6
Compound: Sc8Tl
Source: the Alexandria database
Functional: PBEsol
Structure: relaxed

Calculated values
Symmetry: I4/mmm (139)

POSCAR file:
```
Sc8Tl
1.0
4.441 0.000 0.000
2.220 6.833 0.000
2.220 0.000 6.833
Sc Tl
8 1
direct
0.335 0.665 0.665
0.663 0.673 0.000
0.665 0.335 0.335
0.663 0.000 0.673
0.000 0.335 0.665
0.000 0.665 0.335
0.337 0.327 0.000
0.337 0.000 0.327
0.000 0.000 0.000
```

=====

# 7
Compound: Sc2Tl
Source: the Alexandria database
Functional: PBEsol
Structure: relaxed

Calculated values
Symmetry: P6_3/mmc (194)

POSCAR file:
```
Sc2Tl
1.0
4.984 0.000 0.000
-2.492 4.316 0.000
0.000 0.000 6.203
Sc Tl
4 2
direct
0.333 0.667 0.750
0.000 0.000 0.000
0.000 0.000 0.500
0.667 0.333 0.250
0.333 0.667 0.250
0.667 0.333 0.750
```

=====

# 8
Compound: ScTlW2
Source: the Alexandria database
Functional: PBEsol
Structure: relaxed

Calculated values
Symmetry: P4mm (99)

POSCAR file:
```
ScTlW2
1.0
2.827 0.000 0.000
0.000 2.827 0.000
0.000 0.000 9.130
W Sc Tl
2 1 1
direct
0.500 0.500 0.247
0.000 0.000 0.010
0.000 0.000 0.485
0.500 0.500 0.757
```

=====

ΔE_f values (in kJ/mol of atoms) by entry order: -33, -4, -29, -27, -24, -7, -34, 49.